ErCo4B4: optimized geometry, GGA-PBE.

* calculated total energy: -7.1512 eV per atom

Lattice parameters (Å, degrees): 4.9911 4.9911 6.9494 90.00 90.00 90.00
Last column: nearest neighbours and their distance in Å.
Fractional coordinates of all 18 atoms:
Er 0.2500 0.7500 0.2500  12 Co 2.81-2.95, 12 B 2.87
Er 0.7500 0.2500 0.7500  12 Co 2.81-2.95, 12 B 2.87
Co 0.0036 0.7500 0.6136  5 B 2.04-2.09
Co 0.2500 0.5036 0.8864  5 B 2.04-2.09
Co 0.2500 0.9964 0.8864  5 B 2.04-2.09
Co 0.4964 0.7500 0.6136  5 B 2.04-2.09
Co 0.5036 0.2500 0.3864  5 B 2.04-2.09
Co 0.7500 0.0036 0.1136  5 B 2.04-2.09
Co 0.7500 0.4964 0.1136  5 B 2.04-2.09
Co 0.9964 0.2500 0.3864  5 B 2.04-2.09
B 0.0747 0.2500 0.0906  1 B 1.75
B 0.2500 0.0747 0.5906  1 B 1.75
B 0.2500 0.4253 0.5906  1 B 1.75
B 0.4253 0.2500 0.0906  1 B 1.75
B 0.5747 0.7500 0.9094  1 B 1.75
B 0.7500 0.5747 0.4094  1 B 1.75
B 0.7500 0.9253 0.4094  1 B 1.75
B 0.9253 0.7500 0.9094  1 B 1.75

ErCoB4: optimized geometry, GGA-PBE.

* energy relative to the lowest polymorph listed for this composition: 0 meV per atom

Lattice parameters (Å, degrees): 3.1508 3.1508 6.4154 90.00 90.00 120.00
Last column: nearest neighbours and their distance in Å.
Fractional coordinates of all 6 atoms:
Er 0.0000 0.0000 0.0000  12 B 2.64
Co 0.0000 0.0000 0.5000  12 B 2.24
B 0.3333 0.6667 0.2972  3 B 1.82
B 0.3333 0.6667 0.7028  3 B 1.82
B 0.6667 0.3333 0.2972  3 B 1.82
B 0.6667 0.3333 0.7028  3 B 1.82

Er3Co11B4: optimized geometry, GGA-PBE.

* calculated total energy: -6.9747 eV per atom

Lattice parameters (Å, degrees): 4.9963 4.9963 9.7523 90.00 90.00 120.00
Last column: nearest neighbours and their distance in Å.
Fractional coordinates of all 18 atoms:
Er 0.0000 0.0000 0.0000  18 Co 2.88-3.18
Er 0.0000 0.0000 0.3417  12 Co 2.85-2.94, 6 B 2.89, 1 Er 3.09
Er 0.0000 0.0000 0.6583  12 Co 2.85-2.94, 6 B 2.89, 1 Er 3.09
Co 0.0000 0.5000 0.2018  2 B 2.04
Co 0.0000 0.5000 0.5000  4 B 2.06
Co 0.0000 0.5000 0.7982  2 B 2.04
Co 0.3333 0.6667 0.0000  6 Co 2.44
Co 0.5000 0.0000 0.2018  2 B 2.04
Co 0.5000 0.0000 0.5000  4 B 2.06
Co 0.5000 0.0000 0.7982  2 B 2.04
Co 0.5000 0.5000 0.2018  2 B 2.04
Co 0.5000 0.5000 0.5000  4 B 2.06
Co 0.5000 0.5000 0.7982  2 B 2.04
Co 0.6667 0.3333 0.0000  6 Co 2.44
B 0.3333 0.6667 0.3494  6 Co 2.04-2.06
B 0.3333 0.6667 0.6506  6 Co 2.04-2.06
B 0.6667 0.3333 0.3494  6 Co 2.04-2.06
B 0.6667 0.3333 0.6506  6 Co 2.04-2.06

Total magnetic moment across the listed records, respectively: 0.03; 0.00; 6.78 μB per formula unit.